Entry 1:
{
  "formula": "InP2PdCl",
  "functional": "GGA-PBE",
  "state": "relaxed",
  "mass_density_g_cm3": 3.59,
  "relative_energy_mev_per_atom": 0,
  "crystal_system": "tetragonal",
  "final_energy_ev_per_atom": -3.8494,
  "cell": [[4.4941, 0.0000, 0.0000], [0.0000, 4.4941, 0.0000], [0.0000, 0.0000, 7.3045]],
  "species": ["Cl", "In", "P", "Pd", "P"],
  "frac_coords": [[0.0000, 0.0000, 0.5000], [0.5000, 0.5000, 0.5000], [0.5000, 0.0000, 0.0000], [0.0000, 0.0000, 0.0000], [0.0000, 0.5000, 0.0000]]
}

Entry 2:
{
  "formula": "InP2PdCl",
  "functional": "GGA-PBE",
  "state": "relaxed",
  "mass_density_g_cm3": 4.09,
  "relative_energy_mev_per_atom": 694,
  "crystal_system": "tetragonal",
  "final_energy_ev_per_atom": -3.1552,
  "cell": [[-2.3666, -1.7857, 4.0908], [1.4093, -4.6923, -1.2329], [4.2457, 0.5650, 2.7028]],
  "species": ["In", "P", "P", "Cl", "Pd"],
  "frac_coords": [[0.0000, 0.0000, 0.0000], [0.5000, 0.0000, 0.0000], [0.0000, 0.5000, 0.0000], [0.0000, 0.0000, 0.5000], [0.5000, 0.5000, 0.5000]]
}

Entry 3:
{
  "formula": "InPPtCl2",
  "functional": "GGA-PBE",
  "state": "relaxed",
  "mass_density_g_cm3": 5.24,
  "relative_energy_mev_per_atom": 758,
  "crystal_system": "tetragonal",
  "final_energy_ev_per_atom": -2.8930,
  "cell": [[4.8912, 0.0000, 0.0000], [0.0000, 4.8912, 0.0000], [0.0000, 0.0000, 5.4585]],
  "species": ["In", "Pt", "Cl", "P", "Cl"],
  "frac_coords": [[0.0000, 0.0000, 0.0000], [0.5000, 0.5000, 0.5000], [0.5000, 0.0000, 0.0000], [0.0000, 0.0000, 0.5000], [0.0000, 0.5000, 0.0000]]
}

Entry 4:
{
  "formula": "InPPtCl2",
  "functional": "GGA-PBE",
  "state": "relaxed",
  "mass_density_g_cm3": 5.32,
  "relative_energy_mev_per_atom": 0,
  "crystal_system": "tetragonal",
  "final_energy_ev_per_atom": -3.6506,
  "cell": [[-2.7291, -1.0873, -4.4677], [2.1872, -4.8770, -0.1491], [-3.4000, -1.6002, 2.4664]],
  "species": ["Pt", "Cl", "In", "Cl", "P"],
  "frac_coords": [[0.0000, 0.0000, 0.0000], [0.0000, 0.5000, 0.0000], [0.5000, 0.5000, 0.5000], [0.5000, 0.0000, 0.0000], [0.0000, 0.0000, 0.5000]]
}

Entry 5:
{
  "formula": "RbInP2Cl",
  "functional": "GGA-PBE",
  "state": "relaxed",
  "mass_density_g_cm3": 1.83,
  "relative_energy_mev_per_atom": 861,
  "crystal_system": "tetragonal",
  "final_energy_ev_per_atom": -2.3901,
  "cell": [[-3.3763, 5.6342, -0.1735], [-5.6297, -3.3806, -0.2267], [-0.2707, 0.0307, 6.2658]],
  "species": ["Rb", "P", "In", "P", "Cl"],
  "frac_coords": [[0.0000, 0.0000, 0.0000], [0.5000, 0.0000, 0.0000], [0.5000, 0.5000, 0.5000], [0.0000, 0.5000, 0.0000], [0.0000, 0.0000, 0.5000]]
}

Entry 6:
{
  "formula": "RbInP2Cl",
  "functional": "GGA-PBE",
  "state": "relaxed",
  "mass_density_g_cm3": 3.21,
  "relative_energy_mev_per_atom": 0,
  "crystal_system": "tetragonal",
  "final_energy_ev_per_atom": -3.2510,
  "cell": [[5.0835, 0.0000, 0.0000], [0.0000, 5.0835, 0.0000], [0.0000, 0.0000, 5.9546]],
  "species": ["P", "In", "P", "Cl", "Rb"],
  "frac_coords": [[0.5000, 0.0000, 0.0000], [0.0000, 0.0000, 0.0000], [0.0000, 0.5000, 0.0000], [0.0000, 0.0000, 0.5000], [0.5000, 0.5000, 0.5000]]
}

Entry 7:
{
  "formula": "InReP2Cl",
  "functional": "GGA-PBE",
  "state": "relaxed",
  "mass_density_g_cm3": 5.27,
  "relative_energy_mev_per_atom": 1404,
  "crystal_system": "tetragonal",
  "final_energy_ev_per_atom": -3.9696,
  "cell": [[-3.6162, 1.0703, 3.3580], [0.7592, -4.4616, 2.2396], [3.3548, 2.0555, 2.9576]],
  "species": ["Re", "Cl", "P", "In", "P"],
  "frac_coords": [[0.5000, 0.5000, 0.5000], [0.0000, 0.0000, 0.5000], [0.0000, 0.5000, 0.0000], [0.0000, 0.0000, 0.0000], [0.5000, 0.0000, 0.0000]]
}

Entry 8:
{
  "formula": "InReP2Cl",
  "functional": "GGA-PBE",
  "state": "relaxed",
  "mass_density_g_cm3": 5.82,
  "relative_energy_mev_per_atom": 0,
  "crystal_system": "tetragonal",
  "final_energy_ev_per_atom": -5.3739,
  "cell": [[-2.1348, -3.6347, 1.8154], [-1.4053, -1.2636, -4.1824], [4.4817, -2.9406, -0.6174]],
  "species": ["In", "P", "P", "Re", "Cl"],
  "frac_coords": [[0.5000, 0.5000, 0.5000], [0.0000, 0.5000, 0.0000], [0.5000, 0.0000, 0.0000], [0.0000, 0.0000, 0.0000], [0.0000, 0.0000, 0.5000]]
}

Entry 9:
{
  "formula": "InPRhCl2",
  "functional": "GGA-PBE",
  "state": "relaxed",
  "mass_density_g_cm3": 4.46,
  "relative_energy_mev_per_atom": 0,
  "crystal_system": "tetragonal",
  "final_energy_ev_per_atom": -3.9912,
  "cell": [[5.1788, 0.0000, 0.0000], [0.0000, 5.1788, 0.0000], [0.0000, 0.0000, 4.4342]],
  "species": ["Cl", "P", "In", "Cl", "Rh"],
  "frac_coords": [[0.5000, 0.0000, 0.0000], [0.0000, 0.0000, 0.5000], [0.5000, 0.5000, 0.5000], [0.0000, 0.5000, 0.0000], [0.0000, 0.0000, 0.0000]]
}

Entry 10:
{
  "formula": "InP2RhCl",
  "functional": "GGA-PBE",
  "state": "relaxed",
  "mass_density_g_cm3": 4.57,
  "relative_energy_mev_per_atom": 0,
  "crystal_system": "tetragonal",
  "final_energy_ev_per_atom": -4.3777,
  "cell": [[-4.4910, -0.4197, -0.5071], [-0.3222, -1.6477, 4.2171], [-0.7026, 5.1508, 1.9588]],
  "species": ["Cl", "Rh", "P", "P", "In"],
  "frac_coords": [[0.0000, 0.0000, 0.5000], [0.0000, 0.0000, 0.0000], [0.0000, 0.5000, 0.0000], [0.5000, 0.0000, 0.0000], [0.5000, 0.5000, 0.5000]]
}

Entry 11:
{
  "formula": "InP2RhCl",
  "functional": "GGA-PBE",
  "state": "relaxed",
  "mass_density_g_cm3": 4.21,
  "relative_energy_mev_per_atom": 1044,
  "crystal_system": "tetragonal",
  "final_energy_ev_per_atom": -3.3339,
  "cell": [[-0.5256, 4.6392, 1.7785], [-4.2552, 0.5030, -2.5695], [-2.5550, -1.7780, 3.8831]],
  "species": ["Cl", "P", "P", "In", "Rh"],
  "frac_coords": [[0.0000, 0.0000, 0.5000], [0.0000, 0.5000, 0.0000], [0.5000, 0.0000, 0.0000], [0.0000, 0.0000, 0.0000], [0.5000, 0.5000, 0.5000]]
}

Entry 12:
{
  "formula": "InPRhCl2",
  "functional": "GGA-PBE",
  "state": "relaxed",
  "mass_density_g_cm3": 4.00,
  "relative_energy_mev_per_atom": 837,
  "crystal_system": "tetragonal",
  "final_energy_ev_per_atom": -3.1546,
  "cell": [[4.9994, 0.0000, 0.0000], [0.0000, 4.9994, 0.0000], [0.0000, 0.0000, 5.3132]],
  "species": ["Cl", "In", "Rh", "P", "Cl"],
  "frac_coords": [[0.0000, 0.5000, 0.0000], [0.0000, 0.0000, 0.0000], [0.5000, 0.5000, 0.5000], [0.0000, 0.0000, 0.5000], [0.5000, 0.0000, 0.0000]]
}